# 1
The following is a DFT calculation (PBE) of a geometry-optimized AcMgRh3Pb structure.

Results
* theoretical density: 8756 kg/m³
* magnetization: 0.00 μB per formula unit
* energy relative to the elements: -0.169 eV/atom
* symmetry: No. 63

a b c (Å): 5.657 5.726 9.429
angles (deg): 107.67 90.00 90.00
Fractional positions:
Mg 0.750 0.605 0.210
Mg 0.250 0.395 0.790
Rh 0.500 0.724 0.000
Rh 0.250 0.247 0.495
Rh 0.500 0.276 0.000
Rh 0.750 0.753 0.505
Rh 0.000 0.276 0.000
Rh 0.000 0.724 0.000
Pb 0.250 0.096 0.193
Pb 0.750 0.904 0.807
Ac 0.250 0.737 0.475
Ac 0.750 0.263 0.525

# 2
The following is a DFT calculation (PBE) of a geometry-optimized Ac2MgRh4Pb3 structure.

Results
* theoretical density: 10577 kg/m³
* magnetization: 0.00 μB per formula unit
* energy relative to the elements: -0.438 eV/atom
* symmetry: No. 115

a b c (Å): 4.492 4.492 11.763
angles (deg): 90.00 90.00 90.00
Fractional positions:
Ac 0.000 0.500 0.749
Ac 0.500 0.000 0.251
Pb 0.500 0.000 0.872
Pb 0.000 0.000 0.500
Pb 0.000 0.500 0.128
Rh 0.000 0.500 0.361
Rh 0.000 0.000 0.000
Rh 0.500 0.500 0.000
Rh 0.500 0.000 0.639
Mg 0.500 0.500 0.500